1.
Here is a relaxed structure of ZrVCd2Pd from Alexandria. Energies are from PBE.

## Properties
The value obtained for the total energy is -21.3 eV/cell. Its space group is P4/mmm, No. 123. The calculation puts the density of states at the Fermi level at 6.49 states/eV/cell.

Cell lengths 5.0277, 5.0277, 4.6748 Å; angles 90.00, 90.00, 90.00 degrees
Closest atoms and distances in Å follow each position.
Fractional coordinates of all 5 atoms:
Zr1 0.0000 0.0000 0.0000  8 Cd 3.43, 4 V 3.56
V1 0.5000 0.5000 0.0000  2 Pd 2.34
Cd1 0.0000 0.5000 0.5000  2 Pd 2.51
Cd2 0.5000 0.0000 0.5000  2 Pd 2.51
Pd1 0.5000 0.5000 0.5000  2 V 2.34, 4 Cd 2.51


2.
Here is a relaxed structure of Al2AgTe from Alexandria. Energies are from PBE.

## Properties
The value obtained for the raw formation energy is 0.29 eV/atom. Its space group is F-43m, No. 216. The calculation puts the density of states at the Fermi level at 2.19 states/eV/cell.

Cell lengths 4.9535, 4.9535, 4.9535 Å; angles 60.00, 60.00, 60.00 degrees
Closest atoms and distances in Å follow each position.
Fractional coordinates of all 4 atoms:
Al1 0.0000 0.0000 0.0000  4 Al 3.03, 4 Ag 3.03
Al2 0.2500 0.2500 0.2500  4 Te 3.03, 4 Al 3.03
Ag1 0.7500 0.7500 0.7500  4 Te 3.03, 4 Al 3.03
Te1 0.5000 0.5000 0.5000  4 Al 3.03, 4 Ag 3.03


3.
Here is a relaxed structure of AcZn2CuO4 from Alexandria. Energies are from PBE.

## Properties
The value obtained for the raw formation energy is -1.63 eV/atom. Its space group is I-42m, No. 121. The calculation puts the density of states at the Fermi level at 5.16 states/eV/cell.

Cell lengths 6.0961, 6.0961, 6.0961 Å; angles 133.53, 133.53, 67.82 degrees
Closest atoms and distances in Å follow each position.
Fractional coordinates of all 8 atoms:
Ac1 0.0000 0.0000 0.0000  4 O 2.38
Zn1 0.2500 0.7500 0.5000  4 O 2.02
Zn2 0.7500 0.2500 0.5000  4 O 2.02
Cu1 0.5000 0.5000 0.0000  4 O 2.11
O1 0.1327 0.5785 0.0000  2 Zn 2.02, 1 Cu 2.11
O2 0.4215 0.4215 0.5542  2 Zn 2.02, 1 Cu 2.11
O3 0.5785 0.1327 0.0000  2 Zn 2.02, 1 Cu 2.11
O4 0.8673 0.8673 0.4458  2 Zn 2.02, 1 Cu 2.11


4.
Here is a relaxed structure of Be2ZnOs from Alexandria. Energies are from PBE.

## Properties
The value obtained for the total energy is -19.3 eV/cell. Its space group is Pmm2, No. 25. The calculation puts the density of states at the Fermi level at 1.97 states/eV/cell.

Cell lengths 2.5652, 3.6608, 4.9737 Å; angles 90.00, 90.00, 90.00 degrees
Closest atoms and distances in Å follow each position.
Fractional coordinates of all 4 atoms:
Be1 0.0000 0.0000 0.0000  1 Os 2.33, 4 Zn 2.51, 6 Be 2.57-2.59
Be2 0.5000 0.5000 0.2626  2 Zn 2.45-2.53, 4 Os 2.46, 6 Be 2.57-2.59
Zn1 0.5000 0.5000 0.7706  6 Be 2.45-2.53, 2 Zn 2.57, 4 Os 2.69
Os1 0.0000 0.0000 0.4693  5 Be 2.33-2.46, 2 Os 2.57


5.
Here is a relaxed structure of P2RhWS from Alexandria. Energies are from PBE.

## Properties
The value obtained for the raw formation energy is 1.24 eV/atom. Its space group is P4/mmm, No. 123. The calculation puts the density of states at the Fermi level at 6.62 states/eV/cell.

Cell lengths 4.4561, 4.4561, 4.5747 Å; angles 90.00, 90.00, 90.00 degrees
Closest atoms and distances in Å follow each position.
Fractional coordinates of all 5 atoms:
P1 0.0000 0.5000 0.0000  2 Rh 2.23
P2 0.5000 0.0000 0.0000  2 Rh 2.23
Rh1 0.0000 0.0000 0.0000  4 P 2.23, 2 S 2.29
W1 0.5000 0.5000 0.5000  4 S 3.15, 8 P 3.19
S1 0.0000 0.0000 0.5000  2 Rh 2.29


6.
Here is a relaxed structure of DyThGaPt from Alexandria. Energies are from PBE.

## Properties
The value obtained for the total energy is -24.0 eV/cell. Its space group is F-43m, No. 216. The calculation puts the density of states at the Fermi level at 3.63 states/eV/cell.

Cell lengths 5.1108, 5.1108, 5.1108 Å; angles 60.00, 60.00, 60.00 degrees
Closest atoms and distances in Å follow each position.
Fractional coordinates of all 4 atoms:
Dy1 0.0000 0.0000 0.0000  4 Pt 3.13, 4 Ga 3.13
Th1 0.5000 0.5000 0.5000  4 Pt 3.13, 4 Ga 3.13
Ga1 0.2500 0.2500 0.2500  4 Dy 3.13, 4 Th 3.13
Pt1 0.7500 0.7500 0.7500  4 Th 3.13, 4 Dy 3.13


7.
Here is a relaxed structure of RbAsSCl2 from Alexandria. Energies are from PBE.

## Properties
The value obtained for the raw formation energy is 0.75 eV/atom. Its space group is P4/mmm, No. 123. The calculation puts the density of states at the Fermi level at 10.79 states/eV/cell.

Cell lengths 5.7361, 5.7361, 5.7875 Å; angles 90.00, 90.00, 90.00 degrees
Closest atoms and distances in Å follow each position.
Fractional coordinates of all 5 atoms:
Rb1 0.0000 0.0000 0.0000  4 Cl 2.87, 2 S 2.89
As1 0.5000 0.5000 0.5000  4 S 4.06, 8 Cl 4.07
S1 0.0000 0.0000 0.5000  2 Rb 2.89
Cl1 0.0000 0.5000 0.0000  2 Rb 2.87
Cl2 0.5000 0.0000 0.0000  2 Rb 2.87


8.
Here is a relaxed structure of BaInP2Pd from Alexandria. Energies are from PBE.

## Properties
The value obtained for the total energy is -47.0 eV/cell. Its space group is C2/m, No. 12. The calculation puts the density of states at the Fermi level at 4.19 states/eV/cell.

Cell lengths 6.7918, 6.7918, 9.3784 Å; angles 96.11, 96.11, 36.21 degrees
Closest atoms and distances in Å follow each position.
Fractional coordinates of all 10 atoms:
Ba1 0.1603 0.1603 0.1800  5 P 3.23-3.41, 1 Pd 3.60
Ba2 0.8397 0.8397 0.8200  5 P 3.23-3.41, 1 Pd 3.60
In1 0.4423 0.4423 0.3088  4 P 2.61-2.70
In2 0.5577 0.5577 0.6912  4 P 2.61-2.70
P1 0.1334 0.1334 0.8318  2 In 2.62, 1 Pd 2.63
P2 0.3666 0.3666 0.5654  3 Pd 2.41-2.48, 1 In 2.61
P3 0.6334 0.6334 0.4346  3 Pd 2.41-2.48, 1 In 2.61
P4 0.8666 0.8666 0.1682  2 In 2.62, 1 Pd 2.63
Pd1 0.1802 0.1802 0.5658  4 P 2.41-2.63
Pd2 0.8198 0.8198 0.4342  4 P 2.41-2.63


| no. | total moment (μB per formula unit) | V (Å³/f.u.) |
| --- | --- | --- |
| 1 | 1.3 | 118.2 |
| 2 | 0.0 | 85.9 |
| 3 | 0.1 | 117.0 |
| 4 | 0.0 | 46.7 |
| 5 | 0.0 | 90.8 |
| 6 | 0.0 | 94.4 |
| 7 | 0.0 | 190.4 |
| 8 | 0.0 | 127.0 |